# 1
Here is a geometry-optimized U4GaSi structure from Alexandria. Energies are from PBE-GGA.

ΔE_f (raw) = -0.08 eV per atom
magnetic moment = 0.000 μB per atom

```
U4GaSi
1.0
-2.298 2.832 4.250
2.298 -2.832 4.250
2.298 2.832 -4.250
U Ga Si
4 1 1
direct
0.076 0.827 0.249
0.423 0.173 0.249
0.577 0.827 0.751
0.924 0.173 0.751
0.500 0.500 0.000
0.000 0.500 0.500
```

# 2
Here is a geometry-optimized YTcO2 structure from Alexandria. Energies are from PBE-GGA.

ΔE_f (raw) = -1.26 eV per atom
magnetic moment = 0.000 μB per atom
energy above the most stable polymorph in this dataset = 0.628 eV/atom

```
YTcO2
1.0
1.754 1.013 5.472
-1.754 1.013 5.472
0.000 -2.025 5.472
Y Tc O
1 1 2
direct
0.000 0.000 0.000
0.500 0.500 0.500
0.131 0.131 0.131
0.869 0.869 0.869
```

# 3
Here is a geometry-optimized Pm3Al9Rh2 structure from Alexandria. Energies are from PBE-GGA.

magnetic moment = 0.000 μB per atom
calculated formation energy = -0.654 eV per atom

```
Pm3Al9Rh2
1.0
-2.178 4.891 6.304
2.178 -4.891 6.304
2.178 4.891 -6.304
Pm Al Rh
3 9 2
direct
0.000 0.000 0.000
0.298 0.298 0.000
0.702 0.702 0.000
0.012 0.653 0.360
0.156 0.873 0.283
0.293 0.653 0.640
0.410 0.127 0.283
0.500 0.000 0.500
0.590 0.873 0.717
0.707 0.347 0.360
0.844 0.127 0.717
0.988 0.347 0.640
0.316 0.500 0.816
0.684 0.500 0.184
```

# 4
Here is a geometry-optimized LiAlRh2 structure from Alexandria. Energies are from PBE-GGA.

magnetic moment = 0.000 μB per atom
calculated formation energy = -0.371 eV per atom

```
LiAlRh2
1.0
3.023 0.000 0.000
0.000 3.023 0.000
0.000 0.000 5.805
Li Al Rh
1 1 2
direct
0.000 0.000 0.000
0.500 0.500 0.753
0.000 0.000 0.516
0.500 0.500 0.209
```

# 5
Here is a geometry-optimized KY2Fe structure from Alexandria. Energies are from PBE-GGA.

magnetic moment = 0.104 μB per atom
calculated formation energy = 0.279 eV per atom
energy above the most stable polymorph in this dataset = 0.071 eV/atom

```
KY2Fe
1.0
3.390 -1.965 0.000
3.390 1.965 0.000
-2.222 0.000 10.306
K Y Fe
1 2 1
direct
0.000 0.000 0.000
0.545 0.545 0.642
0.784 0.784 0.357
0.165 0.165 0.500
```

# 6
Here is a geometry-optimized BaNb2InHg structure from Alexandria. Energies are from PBE-GGA.

magnetic moment = 0.920 μB per atom
calculated formation energy = 1.209 eV per atom

```
BaNb2InHg
1.0
5.435 0.000 0.000
0.000 5.435 0.000
0.000 0.000 5.375
Ba Nb In Hg
1 2 1 1
direct
0.000 0.000 0.000
0.000 0.500 0.500
0.500 0.000 0.500
0.500 0.500 0.000
0.500 0.500 0.500
```

# 7
Here is a geometry-optimized HgBHPt3 structure from Alexandria. Energies are from PBE-GGA.

magnetic moment = 0.000 μB per atom

```
HgBHPt3
1.0
6.465 -1.770 0.000
6.465 1.770 0.000
-1.478 0.000 7.305
Hg B H Pt
2 2 2 6
direct
0.136 0.136 0.032
0.864 0.864 0.968
0.143 0.143 0.547
0.857 0.857 0.453
0.491 0.491 0.268
0.509 0.509 0.732
0.015 0.015 0.315
0.314 0.314 0.645
0.343 0.343 0.277
0.657 0.657 0.723
0.686 0.686 0.355
0.985 0.985 0.685
```

# 8
Here is a geometry-optimized ReTc2Ge4 structure from Alexandria. Energies are from PBE-GGA.

magnetic moment = 0.419 μB per atom
calculated formation energy = 0.745 eV per atom
energy above the most stable polymorph in this dataset = 0.739 eV/atom

```
ReTc2Ge4
1.0
-2.388 2.388 6.223
2.388 -2.388 6.223
2.388 2.388 -6.223
Re Tc Ge
1 2 4
direct
0.000 0.000 0.000
0.399 0.399 0.000
0.601 0.601 0.000
0.000 0.500 0.500
0.203 0.203 0.000
0.500 0.000 0.500
0.797 0.797 0.000
```

Number 1: VASP energy -9.009 eV/atom. Number 2: VASP energy -7.945 eV/atom. Number 3: VASP energy -5.128 eV/atom. Number 4: VASP energy -5.460 eV/atom. Number 5: VASP energy -5.344 eV/atom. Number 6: VASP energy -3.811 eV/atom. Number 7: VASP energy -4.880 eV/atom. Number 8: VASP energy -6.634 eV/atom.